Entry from Alexandria via LeMat-Bulk: a geometry-optimized Nd3Ga3CoHg2 structure (PBE-GGA).

Total magnetic moment (μB/f.u.): 0.00
E_form (eV per formula unit): -4.10
DFT total energy (eV/f.u.): -35.2

Geometry as CIF:
```
data_Nd3Ga3CoHg2
_chemical_formula_sum 'Nd3 Ga3 Co1 Hg2'
_cell_length_a 7.4872
_cell_length_b 7.4872
_cell_length_c 4.2621
_cell_angle_alpha 90.00
_cell_angle_beta 90.00
_cell_angle_gamma 120.00
_space_group_name_H-M_alt 'P -6 2 m'
_space_group_IT_number 189
_space_group_name_Hall 'P -6 -2'
loop_
_atom_site_label
_atom_site_type_symbol
_atom_site_fract_x
_atom_site_fract_y
_atom_site_fract_z
Nd1 Nd 0.0000 0.6253 0.0000
Ga1 Ga 0.0000 0.2128 0.5000
Co1 Co 0.0000 0.0000 0.0000
Hg1 Hg 0.3333 0.6667 0.5000
```